{"formula": "LiUN2", "functional": "PBE", "state": "relaxed", "lattice_angstrom": [[5.367, 0.000, 0.000], [0.000, 5.367, 0.000], [0.000, 0.000, 3.476]], "species": ["Li", "Li", "U", "U", "N", "N", "N", "N"], "fractional_positions": [[0.000, 0.000, 0.000], [0.500, 0.500, 0.000], [0.000, 0.500, 0.292], [0.500, 0.000, 0.708], [0.188, 0.312, 0.782], [0.312, 0.812, 0.218], [0.688, 0.188, 0.218], [0.812, 0.688, 0.782]], "e_above_lowest_polymorph_mev_per_atom": 122.2}

---

{"formula": "Li4U3VN8", "functional": "PBE", "state": "relaxed", "lattice_angstrom": [[3.354, 1.936, 5.048], [-3.354, 1.936, 5.048], [0.000, -3.873, 5.048]], "species": ["Li", "Li", "Li", "Li", "U", "U", "U", "V", "N", "N", "N", "N", "N", "N", "N", "N"], "fractional_positions": [[0.000, 0.000, 0.000], [0.000, 0.500, 0.500], [0.500, 0.000, 0.500], [0.500, 0.500, 0.000], [0.000, 0.000, 0.500], [0.000, 0.500, 0.000], [0.500, 0.000, 0.000], [0.500, 0.500, 0.500], [0.233, 0.737, 0.737], [0.239, 0.239, 0.239], [0.263, 0.263, 0.767], [0.263, 0.767, 0.263], [0.737, 0.233, 0.737], [0.737, 0.737, 0.233], [0.761, 0.761, 0.761], [0.767, 0.263, 0.263]]}

---

{"formula": "Li2UVN4", "functional": "PBE", "state": "relaxed", "lattice_angstrom": [[1.628, -5.769, 0.000], [1.628, 5.769, 0.000], [0.000, 0.000, 9.373]], "species": ["Li", "Li", "Li", "Li", "U", "U", "V", "V", "N", "N", "N", "N", "N", "N", "N", "N"], "fractional_positions": [[0.097, 0.903, 0.540], [0.097, 0.903, 0.960], [0.903, 0.097, 0.040], [0.903, 0.097, 0.460], [0.442, 0.558, 0.750], [0.558, 0.442, 0.250], [0.292, 0.708, 0.250], [0.708, 0.292, 0.750], [0.104, 0.896, 0.750], [0.184, 0.816, 0.123], [0.184, 0.816, 0.377], [0.500, 0.500, 0.000], [0.500, 0.500, 0.500], [0.816, 0.184, 0.623], [0.816, 0.184, 0.877], [0.896, 0.104, 0.250]]}

---

Number 1: ΔE_f (raw) -1088 meV/atom. Number 2: ΔE_f (raw) -990 meV/atom. Number 3: ΔE_f (raw) -605 meV/atom.